This record from Alexandria describes a relaxed Cd3AgPd7 crystal. The functional is PBE.

symmetry: C2/m (12)
ΔH_f (0 K): -0.012 eV/atom

Lattice parameters (Å, degrees): 5.204 7.103 7.103 83.38 117.54 117.54
Sites, in units of the cell vectors:
Pd 0.614 0.787 0.787
Pd 0.669 0.926 0.418
Pd 0.331 0.582 0.074
Pd 0.669 0.418 0.926
Pd 0.386 0.213 0.213
Pd 0.000 0.500 0.500
Pd 0.331 0.074 0.582
Ag 0.500 0.500 0.500
Cd 0.500 0.000 0.000
Cd 0.000 0.784 0.216
Cd 0.000 0.216 0.784



This record from Alexandria describes a relaxed Li3B8C8 crystal. The functional is PBE.

symmetry: P-3m1 (164)
ΔH_f (0 K): 0.115 eV/atom

Lattice parameters (Å, degrees): 5.394 5.394 7.441 90.00 90.00 120.00
Sites, in units of the cell vectors:
C 0.166 0.333 0.748
C 0.333 0.166 0.252
C 0.333 0.667 0.252
C 0.833 0.167 0.283
C 0.834 0.667 0.252
C 0.167 0.833 0.717
C 0.667 0.333 0.748
C 0.667 0.834 0.748
Li 0.000 0.500 0.500
Li 0.000 0.000 0.500
Li 0.500 0.000 0.500
B 0.666 0.832 0.261
B 0.167 0.833 0.233
B 0.833 0.167 0.767
B 0.334 0.666 0.739
B 0.832 0.666 0.739
B 0.666 0.334 0.261
B 0.168 0.334 0.261
B 0.334 0.168 0.739



This record from Alexandria describes a relaxed Cs2CaAg2 crystal. The functional is PBE.

symmetry: P4/mbm (127)
ΔH_f (0 K): 0.260 eV/atom

Lattice parameters (Å, degrees): 10.375 10.375 3.963 90.00 90.00 90.00
Sites, in units of the cell vectors:
Cs 0.129 0.371 0.000
Cs 0.371 0.871 0.000
Cs 0.871 0.629 0.000
Cs 0.629 0.129 0.000
Ag 0.175 0.675 0.500
Ag 0.325 0.175 0.500
Ag 0.675 0.825 0.500
Ag 0.825 0.325 0.500
Ca 0.500 0.500 0.000
Ca 0.000 0.000 0.000



This record from Alexandria describes a relaxed NdMnAl3 crystal. The functional is PBE.

symmetry: Pm-3m (221)
ΔH_f (0 K): -0.302 eV/atom

Lattice parameters (Å, degrees): 4.595 4.595 4.595 90.00 90.00 90.00
Sites, in units of the cell vectors:
Mn 0.000 0.000 0.000
Al 0.500 0.000 0.000
Al 0.000 0.000 0.500
Al 0.000 0.500 0.000
Nd 0.500 0.500 0.500



This record from Alexandria describes a relaxed CsLiTc3 crystal. The functional is PBE.

symmetry: Pm-3m (221)
ΔH_f (0 K): 2.131 eV/atom

Lattice parameters (Å, degrees): 4.641 4.641 4.641 90.00 90.00 90.00
Site moments in Bohr magnetons follow the coordinates.
Sites, in units of the cell vectors:
Cs 0.500 0.500 0.500  0.16
Tc 0.000 0.500 0.000  1.98
Tc 0.500 0.000 0.000  1.71
Tc 0.000 0.000 0.500  1.97
Li 0.000 0.000 0.000  0.00



This record from Alexandria describes a relaxed HfNb5 crystal. The functional is PBE.

symmetry: Cmmm (65)
ΔH_f (0 K): 0.013 eV/atom

Lattice parameters (Å, degrees): 4.729 4.741 5.554 90.00 64.80 90.00
Sites, in units of the cell vectors:
Nb 0.326 0.500 0.848
Nb 0.828 0.000 0.845
Nb 0.674 0.500 0.152
Nb 0.500 0.000 0.500
Nb 0.172 0.000 0.155
Hf 0.000 0.500 0.500



For each record above, in turn, the calculated magnetic moment values are 0.00 0.00 0.00 0.00 1.32 0.00 μB/atom.